(1)
A plane-wave DFT calculation with GGA-PBEsol was carried out for ZrNiRu2 after structural relaxation.

- Energy of formation: 0.001 eV/atom
- Space group: F-43m, No. 216
- Crystal system: cubic

Lattice parameters (Å, degrees): 4.342 4.342 4.342 60.00 60.00 60.00
Fractional positions:
Ru  0.000  0.000  0.000
Ru  0.750  0.750  0.750
Ni  0.500  0.500  0.500
Zr  0.250  0.250  0.250

(2)
A plane-wave DFT calculation with GGA-PBEsol was carried out for Zr2NiRu after structural relaxation.

- Energy of formation: -0.245 eV/atom
- Energy above the most stable polymorph in this dataset: 0.235 eV/atom
- Space group: I-4m2, No. 119
- Crystal system: tetragonal

Lattice parameters (Å, degrees): 3.832 3.832 5.225 111.52 111.52 90.00
Fractional positions:
Zr  0.000  0.000  0.000
Zr  0.750  0.250  0.500
Ru  0.250  0.750  0.500
Ni  0.500  0.500  0.000

(3)
A plane-wave DFT calculation with GGA-PBEsol was carried out for ZrNi4Ru after structural relaxation.

- Energy of formation: -0.246 eV/atom
- Space group: F-43m, No. 216
- Crystal system: cubic

Lattice parameters (Å, degrees): 4.718 4.718 4.718 60.00 60.00 60.00
Each line ends with the local moment (μB).
Fractional positions:
Ni  0.872  0.376  0.376  0.39
Ni  0.376  0.376  0.376  0.39
Ni  0.376  0.872  0.376  0.39
Ni  0.376  0.376  0.872  0.39
Zr  0.000  0.000  0.000  -0.09
Ru  0.750  0.750  0.750  0.61

(4)
A plane-wave DFT calculation with GGA-PBEsol was carried out for NiS2 after structural relaxation.

- Uncorrected formation energy: -0.3501 eV/atom
- Space group: P2_1/c, No. 14
- Crystal system: monoclinic

Lattice parameters (Å, degrees): 3.483 4.522 5.477 90.00 90.00 90.14
Fractional positions:
S  0.000  0.314  0.613
S  0.500  0.814  0.887
S  0.000  0.686  0.387
S  0.500  0.186  0.113
Ni  0.500  0.000  0.500
Ni  0.000  0.500  0.000

> What is the formula in the second record?

Zr2NiRu